Entry 1:
{
  "formula": "HoNpU",
  "functional": "PBE-GGA",
  "state": "relaxed",
  "cell": [[6.942, 0.000, 0.000], [0.000, 6.942, 0.000], [0.000, 0.000, 6.942]],
  "species": ["Ho", "Ho", "Ho", "Ho", "Np", "Np", "Np", "Np", "U", "U", "U", "U"],
  "fractional_positions": [[0.000, 0.000, 0.000], [0.000, 0.500, 0.500], [0.500, 0.000, 0.500], [0.500, 0.500, 0.000], [0.000, 0.000, 0.500], [0.000, 0.500, 0.000], [0.500, 0.000, 0.000], [0.500, 0.500, 0.500], [0.250, 0.250, 0.250], [0.250, 0.750, 0.750], [0.750, 0.250, 0.750], [0.750, 0.750, 0.250]],
  "magmom_total_mub_per_cell": 31.84,
  "e_above_lowest_polymorph_ev_per_atom": 0.0000,
  "e_form_ev_per_atom": 1.137
}



Entry 2:
{
  "formula": "Tb2GdSn3Ir2Pd",
  "functional": "PBE-GGA",
  "state": "relaxed",
  "cell": [[3.953, 0.000, 0.000], [0.000, 6.542, 3.773], [0.000, -6.542, 3.773]],
  "species": ["Tb", "Tb", "Gd", "Sn", "Sn", "Sn", "Ir", "Ir", "Pd"],
  "fractional_positions": [[0.000, 0.205, 0.795], [0.000, 0.795, 0.205], [0.000, 0.384, 0.384], [0.500, 0.057, 0.057], [0.500, 0.532, 0.795], [0.500, 0.795, 0.532], [0.500, 0.128, 0.462], [0.500, 0.462, 0.128], [0.000, 0.795, 0.795]],
  "magmom_total_mub_per_cell": 0.00,
  "energy_ev_per_cell": -56.57
}



Entry 3:
{
  "formula": "ReTe2",
  "functional": "PBE-GGA",
  "state": "relaxed",
  "cell": [[3.714, 0.000, 0.000], [-1.857, 3.217, 0.000], [0.000, 0.000, 20.118]],
  "species": ["Re", "Re", "Re", "Te", "Te", "Te", "Te", "Te", "Te"],
  "fractional_positions": [[0.000, 0.000, 0.000], [0.333, 0.667, 0.667], [0.667, 0.333, 0.333], [0.000, 0.000, 0.251], [0.000, 0.000, 0.415], [0.333, 0.667, 0.082], [0.333, 0.667, 0.918], [0.667, 0.333, 0.585], [0.667, 0.333, 0.749]],
  "magmom_total_mub_per_cell": 0.02,
  "energy_ev_per_cell": -54.46
}



Entry 4:
{
  "formula": "Hf2FeSb",
  "functional": "PBE-GGA",
  "state": "relaxed",
  "cell": [[6.684, 0.000, 0.000], [0.000, 6.684, 0.000], [0.000, 0.000, 6.684]],
  "species": ["Hf", "Hf", "Hf", "Hf", "Hf", "Hf", "Hf", "Hf", "Fe", "Fe", "Fe", "Fe", "Sb", "Sb", "Sb", "Sb"],
  "fractional_positions": [[0.000, 0.000, 0.000], [0.000, 0.500, 0.500], [0.250, 0.250, 0.250], [0.250, 0.750, 0.750], [0.500, 0.000, 0.500], [0.500, 0.500, 0.000], [0.750, 0.250, 0.750], [0.750, 0.750, 0.250], [0.250, 0.250, 0.750], [0.250, 0.750, 0.250], [0.750, 0.250, 0.250], [0.750, 0.750, 0.750], [0.000, 0.000, 0.500], [0.000, 0.500, 0.000], [0.500, 0.000, 0.000], [0.500, 0.500, 0.500]],
  "magmom_total_mub_per_cell": 9.54,
  "energy_ev_per_cell": -126.13
}



Entry 5:
{
  "formula": "HfRe2",
  "functional": "PBE-GGA",
  "state": "relaxed",
  "cell": [[0.000, 5.836, 5.836], [5.836, 0.000, 5.836], [5.836, 5.836, 0.000]],
  "species": ["Hf", "Hf", "Re", "Re", "Re", "Re"],
  "fractional_positions": [[0.125, 0.125, 0.125], [0.875, 0.875, 0.875], [0.000, 0.000, 0.000], [0.000, 0.000, 0.500], [0.000, 0.500, 0.000], [0.500, 0.000, 0.000]],
  "magmom_total_mub_per_cell": 12.04,
  "e_form_ev_per_atom": 4.198
}



Entry 6:
{
  "formula": "UInAg",
  "functional": "PBE-GGA",
  "state": "relaxed",
  "cell": [[7.007, 0.000, 0.000], [0.000, 7.007, 0.000], [0.000, 0.000, 7.007]],
  "species": ["U", "U", "U", "U", "In", "In", "In", "In", "Ag", "Ag", "Ag", "Ag"],
  "fractional_positions": [[0.000, 0.000, 0.000], [0.000, 0.500, 0.500], [0.500, 0.000, 0.500], [0.500, 0.500, 0.000], [0.250, 0.250, 0.250], [0.250, 0.750, 0.750], [0.750, 0.250, 0.750], [0.750, 0.750, 0.250], [0.250, 0.250, 0.750], [0.250, 0.750, 0.250], [0.750, 0.250, 0.250], [0.750, 0.750, 0.750]],
  "magmom_total_mub_per_cell": 11.88,
  "energy_ev_per_cell": -56.38
}



Entry 7:
{
  "formula": "SrCo2Si2",
  "functional": "PBE-GGA",
  "state": "relaxed",
  "cell": [[3.937, 0.000, 0.000], [0.000, 3.937, 0.000], [0.000, 0.000, 10.681]],
  "species": ["Sr", "Sr", "Co", "Co", "Co", "Co", "Si", "Si", "Si", "Si"],
  "fractional_positions": [[0.000, 0.000, 0.000], [0.500, 0.500, 0.500], [0.000, 0.500, 0.250], [0.000, 0.500, 0.750], [0.500, 0.000, 0.250], [0.500, 0.000, 0.750], [0.000, 0.000, 0.355], [0.000, 0.000, 0.645], [0.500, 0.500, 0.145], [0.500, 0.500, 0.855]],
  "magmom_total_mub_per_cell": 0.03,
  "energy_ev_per_cell": -58.78
}



Entry 8:
{
  "formula": "LiGdCdSe3",
  "functional": "PBE-GGA",
  "state": "relaxed",
  "cell": [[11.460, 0.000, 0.000], [0.000, 4.092, 0.000], [0.000, 0.000, 12.068]],
  "species": ["Li", "Li", "Li", "Li", "Gd", "Gd", "Gd", "Gd", "Cd", "Cd", "Cd", "Cd", "Se", "Se", "Se", "Se", "Se", "Se", "Se", "Se", "Se", "Se", "Se", "Se"],
  "fractional_positions": [[0.127, 0.250, 0.073], [0.373, 0.750, 0.573], [0.627, 0.250, 0.427], [0.873, 0.750, 0.927], [0.126, 0.250, 0.753], [0.374, 0.750, 0.253], [0.626, 0.250, 0.747], [0.874, 0.750, 0.247], [0.126, 0.250, 0.404], [0.374, 0.750, 0.904], [0.626, 0.250, 0.096], [0.874, 0.750, 0.596], [0.122, 0.750, 0.581], [0.124, 0.750, 0.240], [0.127, 0.750, 0.920], [0.373, 0.250, 0.420], [0.376, 0.250, 0.740], [0.378, 0.250, 0.081], [0.622, 0.750, 0.919], [0.624, 0.750, 0.260], [0.627, 0.750, 0.580], [0.873, 0.250, 0.080], [0.876, 0.250, 0.760], [0.878, 0.250, 0.419]],
  "magmom_total_mub_per_cell": 0.02,
  "e_above_lowest_polymorph_ev_per_atom": 0.0000
}



Entry 9:
{
  "formula": "CoReSiPd",
  "functional": "PBE-GGA",
  "state": "relaxed",
  "cell": [[5.962, 0.000, 0.000], [0.000, 5.962, 0.000], [0.000, 0.000, 5.962]],
  "species": ["Co", "Co", "Co", "Co", "Re", "Re", "Re", "Re", "Si", "Si", "Si", "Si", "Pd", "Pd", "Pd", "Pd"],
  "fractional_positions": [[0.000, 0.000, 0.000], [0.000, 0.500, 0.500], [0.500, 0.000, 0.500], [0.500, 0.500, 0.000], [0.000, 0.000, 0.500], [0.000, 0.500, 0.000], [0.500, 0.000, 0.000], [0.500, 0.500, 0.500], [0.250, 0.250, 0.750], [0.250, 0.750, 0.250], [0.750, 0.250, 0.250], [0.750, 0.750, 0.750], [0.250, 0.250, 0.250], [0.250, 0.750, 0.750], [0.750, 0.250, 0.750], [0.750, 0.750, 0.250]],
  "magmom_total_mub_per_cell": 3.12,
  "e_above_lowest_polymorph_ev_per_atom": 0.0000
}



Entry 10:
{
  "formula": "NaNiBiSe3",
  "functional": "PBE-GGA",
  "state": "relaxed",
  "cell": [[2.030, -6.516, 0.000], [2.030, 6.516, 0.000], [0.000, 0.000, 11.215]],
  "species": ["Na", "Na", "Ni", "Ni", "Bi", "Bi", "Se", "Se", "Se", "Se", "Se", "Se"],
  "fractional_positions": [[0.248, 0.752, 0.750], [0.752, 0.248, 0.250], [0.474, 0.526, 0.250], [0.526, 0.474, 0.750], [0.000, 0.000, 0.000], [0.000, 0.000, 0.500], [0.075, 0.925, 0.250], [0.355, 0.645, 0.084], [0.355, 0.645, 0.416], [0.645, 0.355, 0.584], [0.645, 0.355, 0.916], [0.925, 0.075, 0.750]],
  "magmom_total_mub_per_cell": 3.77,
  "energy_ev_per_cell": -47.66
}



Entry 11:
{
  "formula": "Si2Tc2O5",
  "functional": "PBE-GGA",
  "state": "relaxed",
  "cell": [[3.326, 0.000, 0.000], [0.000, 3.326, 0.000], [0.000, 0.000, 8.345]],
  "species": ["Si", "Si", "Tc", "Tc", "O", "O", "O", "O", "O"],
  "fractional_positions": [[0.000, 0.000, 0.241], [0.000, 0.000, 0.759], [0.500, 0.500, 0.000], [0.500, 0.500, 0.500], [0.000, 0.000, 0.000], [0.000, 0.500, 0.344], [0.000, 0.500, 0.656], [0.500, 0.000, 0.344], [0.500, 0.000, 0.656]],
  "magmom_total_mub_per_cell": 2.03,
  "e_above_lowest_polymorph_ev_per_atom": 0.0000
}



Entry 12:
{
  "formula": "NiC2",
  "functional": "PBE-GGA",
  "state": "relaxed",
  "cell": [[0.000, 2.884, 2.884], [2.884, 0.000, 2.884], [2.884, 2.884, 0.000]],
  "species": ["Ni", "Ni", "C", "C", "C", "C"],
  "fractional_positions": [[0.125, 0.125, 0.125], [0.875, 0.875, 0.875], [0.000, 0.500, 0.500], [0.500, 0.000, 0.500], [0.500, 0.500, 0.000], [0.500, 0.500, 0.500]],
  "magmom_total_mub_per_cell": 0.01,
  "e_above_lowest_polymorph_ev_per_atom": 0.6418
}